First-principles (PBE-GGA) data for HoErAsP after structural relaxation, as listed in the Alexandria database.

Properties
M_tot	0.0	μB per cell
formation energy	-1.5588	eV/atom

Cell: 4.035 4.035 5.705 Å, 90.00 90.00 90.00°
Space group P4/mmm (No. 123)
One atom of each set of equivalent atoms:
Ho (0.000, 0.000, 0.000)
Er (0.500, 0.500, 0.500)
As (0.500, 0.500, 0.000)
P (0.000, 0.000, 0.500)